{
  "formula": "Pm4PrZn",
  "functional": "GGA-PBE",
  "state": "optimized geometry",
  "cell": [[3.684, 0.000, 0.000], [0.002, 5.387, 0.000], [0.014, 0.006, 9.561]],
  "species": ["Pm", "Pm", "Pm", "Pm", "Pr", "Zn"],
  "fractional_positions": [[0.000, 0.000, 0.000], [0.000, 0.499, 0.594], [0.500, 0.999, 0.388], [0.501, 0.500, 0.892], [0.000, 0.499, 0.230], [0.501, 0.001, 0.719]],
  "vol_a3_per_atom": 31.63,
  "n_ef_per_ev_cell": 7.54,
  "formation_enthalpy_0k_ev_per_atom": 0.004,
  "density_g_cm3": 6.9
}

***

{
  "formula": "Pm8Pr2Zn",
  "functional": "GGA-PBE",
  "state": "optimized geometry",
  "cell": [[9.023, -2.837, 0.000], [9.023, 2.837, 0.000], [-2.456, 0.000, 7.132]],
  "species": ["Pm", "Pm", "Pm", "Pm", "Pm", "Pm", "Pm", "Pm", "Pr", "Pr", "Zn"],
  "fractional_positions": [[0.013, 0.013, 0.278], [0.185, 0.185, 0.729], [0.344, 0.344, 0.564], [0.398, 0.398, 0.079], [0.602, 0.602, 0.921], [0.656, 0.656, 0.436], [0.815, 0.815, 0.271], [0.987, 0.987, 0.722], [0.185, 0.185, 0.170], [0.815, 0.815, 0.830], [0.500, 0.500, 0.500]],
  "vol_a3_per_atom": 33.20,
  "n_ef_per_ev_cell": 16.70,
  "formation_enthalpy_0k_ev_per_atom": 0.054,
  "density_g_cm3": 6.9
}

***

{
  "formula": "Pm3Pr2Zn2",
  "functional": "GGA-PBE",
  "state": "optimized geometry",
  "cell": [[5.940, -2.384, 0.000], [5.940, 2.384, 0.000], [-3.649, 0.000, 7.431]],
  "species": ["Pm", "Pm", "Pm", "Pr", "Pr", "Zn", "Zn"],
  "fractional_positions": [[0.000, 0.000, 0.000], [0.134, 0.134, 0.469], [0.866, 0.866, 0.531], [0.359, 0.359, 0.198], [0.641, 0.641, 0.802], [0.356, 0.356, 0.807], [0.644, 0.644, 0.193]],
  "vol_a3_per_atom": 30.06,
  "n_ef_per_ev_cell": 9.17,
  "formation_enthalpy_0k_ev_per_atom": -0.079,
  "density_g_cm3": 6.7
}

***

{
  "formula": "Pm2Pr8Zn",
  "functional": "GGA-PBE",
  "state": "optimized geometry",
  "cell": [[9.826, -2.890, 0.000], [9.826, 2.890, 0.000], [-0.381, 0.000, 6.608]],
  "species": ["Pm", "Pm", "Pr", "Pr", "Pr", "Pr", "Pr", "Pr", "Pr", "Pr", "Zn"],
  "fractional_positions": [[0.237, 0.237, 0.333], [0.763, 0.763, 0.667], [0.039, 0.039, 0.251], [0.155, 0.155, 0.806], [0.345, 0.345, 0.880], [0.421, 0.421, 0.391], [0.579, 0.579, 0.609], [0.655, 0.655, 0.120], [0.845, 0.845, 0.194], [0.961, 0.961, 0.749], [0.500, 0.500, 0.000]],
  "vol_a3_per_atom": 34.12,
  "n_ef_per_ev_cell": 13.79,
  "formation_enthalpy_0k_ev_per_atom": -0.012,
  "density_g_cm3": 6.6
}

***

{
  "formula": "PmPrZn2",
  "functional": "GGA-PBE",
  "state": "optimized geometry",
  "cell": [[5.206, 0.000, 0.000], [0.000, 5.206, 0.000], [0.000, 0.000, 3.694]],
  "species": ["Pm", "Pr", "Zn", "Zn"],
  "fractional_positions": [[0.000, 0.000, 0.000], [0.500, 0.500, 0.000], [0.000, 0.500, 0.500], [0.500, 0.000, 0.500]],
  "vol_a3_per_atom": 25.03,
  "n_ef_per_ev_cell": 4.27,
  "formation_enthalpy_0k_ev_per_atom": -0.308,
  "density_g_cm3": 6.9
}

***

{
  "formula": "Pm4Pr3Zn4",
  "functional": "GGA-PBE",
  "state": "optimized geometry",
  "cell": [[-2.427, 4.021, 8.041], [2.427, -4.021, 8.041], [2.427, 4.021, -8.041]],
  "species": ["Pm", "Pm", "Pm", "Pm", "Pr", "Pr", "Pr", "Zn", "Zn", "Zn", "Zn"],
  "fractional_positions": [[0.039, 0.832, 0.207], [0.375, 0.168, 0.207], [0.625, 0.832, 0.793], [0.961, 0.168, 0.793], [0.000, 0.500, 0.500], [0.388, 0.388, 0.000], [0.612, 0.612, 0.000], [0.217, 0.717, 0.500], [0.339, 0.000, 0.339], [0.661, 0.000, 0.661], [0.783, 0.283, 0.500]],
  "vol_a3_per_atom": 28.54,
  "n_ef_per_ev_cell": 10.75,
  "formation_enthalpy_0k_ev_per_atom": -0.120,
  "density_g_cm3": 6.7
}